! PmAs3Ru3 | Alexandria via LeMat-Bulk | PBE | relaxed; values from VASP
! Size of the total moment in μB/f.u.: 0.00
! Formation energy from the elements in eV/atom: -0.08
&SYSTEM
  ibrav = 0, nat = 14, ntyp = 3
/
ATOMIC_SPECIES
Ru 101.07 Ru.upf
As 74.92 As.upf
Pm 145.00 Pm.upf
ATOMIC_POSITIONS crystal
Ru 0.000 0.250 0.500
Ru 0.000 0.750 0.500
Ru 0.500 0.000 0.750
Ru 0.750 0.500 0.000
Ru 0.500 0.000 0.250
Ru 0.250 0.500 0.000
As 0.250 0.000 0.500
As 0.000 0.500 0.250
As 0.500 0.750 0.000
As 0.750 0.000 0.500
As 0.000 0.500 0.750
As 0.500 0.250 0.000
Pm 0.500 0.500 0.500
Pm 0.000 0.000 0.000
CELL_PARAMETERS angstrom
-3.630 -5.547 0.896
5.498 -3.285 1.932
-1.162 1.785 6.341

! TbSm12Y6 | Alexandria via LeMat-Bulk | PBE | relaxed; values from VASP
! Distance to the lowest polymorph of the same formula in meV per atom: 0
! Size of the total moment in μB/f.u.: 0.00
! Formation energy from the elements in eV/atom: 0.14
&SYSTEM
  ibrav = 0, nat = 19, ntyp = 3
/
ATOMIC_SPECIES
Tb 158.93 Tb.upf
Sm 150.36 Sm.upf
Y 88.91 Y.upf
ATOMIC_POSITIONS crystal
Tb 0.000 0.000 0.000
Sm 0.778 0.538 0.434
Sm 0.434 0.778 0.538
Sm 0.538 0.434 0.778
Sm 0.222 0.462 0.566
Sm 0.566 0.222 0.462
Sm 0.462 0.566 0.222
Sm 0.017 0.199 0.359
Sm 0.801 0.641 0.983
Sm 0.641 0.983 0.801
Sm 0.983 0.801 0.641
Sm 0.199 0.359 0.017
Sm 0.359 0.017 0.199
Y 0.739 0.903 0.301
Y 0.699 0.261 0.097
Y 0.097 0.699 0.261
Y 0.261 0.097 0.699
Y 0.301 0.739 0.903
Y 0.903 0.301 0.739
CELL_PARAMETERS angstrom
8.578 0.681 0.816
-0.627 8.582 0.816
-0.627 -0.731 8.589